# PBE UFeP2, relaxed
# Space group: I-4m2 (119)
# Formation energy, kJ per mole of atoms: -70
data_UFeP2
_cell_length_a 3.823
_cell_length_b 3.821
_cell_length_c 5.166
_cell_angle_alpha 111.71
_cell_angle_beta 111.71
_cell_angle_gamma 89.99
_symmetry_space_group_name_H-M 'P 1'
_symmetry_Int_Tables_number 1
loop_
_symmetry_equiv_pos_as_xyz
'x,y,z'
loop_
_atom_site_label
_atom_site_fract_x
_atom_site_fract_y
_atom_site_fract_z
U1 0.221 0.881 0.228
Fe1 0.471 0.631 0.728
P1 0.853 0.512 0.491
P2 0.590 0.250 0.966



# PBE SrAlHg2, relaxed
# Space group: C2/m (12)
# Formation energy, kJ per mole of atoms: -4
data_SrAlHg2
_cell_length_a 6.188
_cell_length_b 6.188
_cell_length_c 3.551
_cell_angle_alpha 75.70
_cell_angle_beta 75.70
_cell_angle_gamma 113.93
_symmetry_space_group_name_H-M 'P 1'
_symmetry_Int_Tables_number 1
loop_
_symmetry_equiv_pos_as_xyz
'x,y,z'
loop_
_atom_site_label
_atom_site_fract_x
_atom_site_fract_y
_atom_site_fract_z
Sr1 0.500 0.000 0.500
Hg1 0.000 0.000 0.000
Hg2 0.500 0.500 0.000
Al1 0.000 0.500 0.500



# PBE Tb6Tl3AsSe2, relaxed
# Space group: C2/m (12)
# Uncorrected formation energy, eV/atom: -1.020
data_Tb6Tl3AsSe2
_cell_length_a 6.927
_cell_length_b 6.927
_cell_length_c 8.247
_cell_angle_alpha 98.04
_cell_angle_beta 98.04
_cell_angle_gamma 120.05
_symmetry_space_group_name_H-M 'P 1'
_symmetry_Int_Tables_number 1
loop_
_symmetry_equiv_pos_as_xyz
'x,y,z'
loop_
_atom_site_label
_atom_site_fract_x
_atom_site_fract_y
_atom_site_fract_z
Tb1 0.928 0.599 0.784
Tb2 0.745 0.745 0.220
Tb3 0.072 0.401 0.216
Tb4 0.599 0.928 0.784
Tb5 0.255 0.255 0.780
Tb6 0.401 0.072 0.216
Tl1 0.170 0.830 0.500
Tl2 0.830 0.170 0.500
Tl3 0.500 0.500 0.500
As1 0.000 0.000 0.000
Se1 0.334 0.666 0.000
Se2 0.666 0.334 0.000



# PBE Cs6Hg2Br, relaxed
# Space group: P2_1/c (14)
# Uncorrected formation energy, eV/atom: -0.472
data_Cs6Hg2Br
_cell_length_a 9.079
_cell_length_b 10.489
_cell_length_c 13.247
_cell_angle_alpha 90.00
_cell_angle_beta 88.92
_cell_angle_gamma 90.00
_symmetry_space_group_name_H-M 'P 1'
_symmetry_Int_Tables_number 1
loop_
_symmetry_equiv_pos_as_xyz
'x,y,z'
loop_
_atom_site_label
_atom_site_fract_x
_atom_site_fract_y
_atom_site_fract_z
Cs1 0.859 0.961 0.250
Cs2 0.843 0.686 0.562
Cs3 0.831 0.670 0.934
Cs4 0.669 0.170 0.566
Cs5 0.657 0.186 0.938
Cs6 0.641 0.461 0.250
Cs7 0.141 0.039 0.750
Cs8 0.157 0.314 0.438
Cs9 0.169 0.330 0.066
Cs10 0.331 0.830 0.434
Cs11 0.343 0.814 0.062
Cs12 0.359 0.539 0.750
Hg1 0.948 0.381 0.744
Hg2 0.552 0.881 0.756
Hg3 0.448 0.119 0.244
Hg4 0.052 0.619 0.256
Br1 0.500 0.500 0.000
Br2 0.000 0.000 0.500



# PBE Sr3Cr5N12, relaxed
# Space group: Ia-3d (230)
# Uncorrected formation energy, eV/atom: -0.266
data_Sr3Cr5N12
_cell_length_a 10.962
_cell_length_b 10.962
_cell_length_c 10.962
_cell_angle_alpha 109.47
_cell_angle_beta 109.47
_cell_angle_gamma 109.47
_symmetry_space_group_name_H-M 'P 1'
_symmetry_Int_Tables_number 1
loop_
_symmetry_equiv_pos_as_xyz
'x,y,z'
loop_
_atom_site_label
_atom_site_fract_x
_atom_site_fract_y
_atom_site_fract_z
Sr1 0.750 0.375 0.125
Sr2 0.875 0.750 0.125
Sr3 0.375 0.750 0.625
Sr4 0.250 0.125 0.375
Sr5 0.875 0.125 0.250
Sr6 0.375 0.625 0.250
Sr7 0.625 0.375 0.750
Sr8 0.125 0.875 0.750
Sr9 0.750 0.875 0.625
Sr10 0.625 0.250 0.375
Sr11 0.125 0.250 0.875
Sr12 0.250 0.625 0.875
Cr1 0.125 0.375 0.250
Cr2 0.000 0.500 0.000
Cr3 0.000 0.000 0.000
Cr4 0.375 0.250 0.125
Cr5 0.500 0.000 0.500
Cr6 0.500 0.500 0.000
Cr7 0.125 0.750 0.375
Cr8 0.750 0.125 0.875
Cr9 0.750 0.625 0.375
Cr10 0.375 0.125 0.750
Cr11 0.625 0.875 0.250
Cr12 0.500 0.500 0.500
Cr13 0.500 0.000 0.000
Cr14 0.000 0.000 0.500
Cr15 0.250 0.375 0.625
Cr16 0.250 0.875 0.125
Cr17 0.000 0.500 0.500
Cr18 0.875 0.250 0.625
Cr19 0.625 0.750 0.875
Cr20 0.875 0.625 0.750
N1 0.680 0.103 0.993
N2 0.313 0.493 0.390
N3 0.007 0.397 0.320
N4 0.493 0.180 0.103
N5 0.577 0.680 0.687
N6 0.007 0.610 0.187
N7 0.313 0.820 0.423
N8 0.110 0.923 0.103
N9 0.610 0.007 0.687
N10 0.680 0.577 0.187
N11 0.820 0.507 0.397
N12 0.813 0.890 0.993
N13 0.103 0.680 0.493
N14 0.397 0.390 0.077
N15 0.077 0.890 0.397
N16 0.423 0.103 0.610
N17 0.077 0.187 0.180
N18 0.507 0.687 0.110
N19 0.813 0.923 0.320
N20 0.103 0.423 0.110
N21 0.397 0.007 0.820
N22 0.610 0.603 0.423
N23 0.890 0.813 0.493
N24 0.820 0.313 0.923
N25 0.390 0.397 0.577
N26 0.110 0.187 0.507
N27 0.180 0.687 0.077
N28 0.187 0.077 0.680
N29 0.603 0.993 0.180
N30 0.897 0.577 0.890
N31 0.493 0.313 0.890
N32 0.577 0.897 0.390
N33 0.923 0.813 0.820
N34 0.923 0.110 0.603
N35 0.897 0.320 0.507
N36 0.187 0.110 0.007
N37 0.603 0.610 0.923
N38 0.390 0.993 0.313
N39 0.320 0.423 0.813
N40 0.180 0.493 0.603
N41 0.890 0.077 0.897
N42 0.687 0.180 0.577
N43 0.507 0.820 0.897
N44 0.993 0.390 0.813
N45 0.423 0.320 0.313
N46 0.993 0.603 0.680
N47 0.687 0.507 0.610
N48 0.320 0.897 0.007



# PBE Sr2SiIrI, relaxed
# Space group: P4/mmm (123)
# Uncorrected formation energy, eV/atom: -0.761
data_Sr2SiIrI
_cell_length_a 5.988
_cell_length_b 5.988
_cell_length_c 4.540
_cell_angle_alpha 90.00
_cell_angle_beta 90.00
_cell_angle_gamma 90.00
_symmetry_space_group_name_H-M 'P 1'
_symmetry_Int_Tables_number 1
loop_
_symmetry_equiv_pos_as_xyz
'x,y,z'
loop_
_atom_site_label
_atom_site_fract_x
_atom_site_fract_y
_atom_site_fract_z
I1 0.500 0.500 0.500
Sr1 0.000 0.500 0.000
Sr2 0.500 0.000 0.000
Si1 0.000 0.000 0.500
Ir1 0.000 0.000 0.000



# PBE KThSe2, relaxed
# Space group: R3m (160)
# Uncorrected formation energy, eV/atom: -1.517
data_KThSe2
_cell_length_a 4.197
_cell_length_b 4.197
_cell_length_c 8.462
_cell_angle_alpha 75.64
_cell_angle_beta 75.64
_cell_angle_gamma 60.00
_symmetry_space_group_name_H-M 'P 1'
_symmetry_Int_Tables_number 1
loop_
_symmetry_equiv_pos_as_xyz
'x,y,z'
loop_
_atom_site_label
_atom_site_fract_x
_atom_site_fract_y
_atom_site_fract_z
K1 0.497 0.497 0.509
Th1 0.668 0.668 0.996
Se1 0.073 0.073 0.781
Se2 0.262 0.262 0.214



# PBE Mg11Ag9Pd4, relaxed
# Space group: Cmmm (65)
# Formation energy, kJ per mole of atoms: -33
data_Mg11Ag9Pd4
_cell_length_a 3.049
_cell_length_b 12.348
_cell_length_c 12.348
_cell_angle_alpha 111.27
_cell_angle_beta 90.00
_cell_angle_gamma 90.00
_symmetry_space_group_name_H-M 'P 1'
_symmetry_Int_Tables_number 1
loop_
_symmetry_equiv_pos_as_xyz
'x,y,z'
loop_
_atom_site_label
_atom_site_fract_x
_atom_site_fract_y
_atom_site_fract_z
Mg1 0.000 0.588 0.938
Mg2 0.000 0.412 0.062
Mg3 0.000 0.938 0.588
Mg4 0.000 0.062 0.412
Mg5 0.000 0.635 0.365
Mg6 0.000 0.365 0.635
Mg7 0.000 0.840 0.160
Mg8 0.000 0.160 0.840
Mg9 0.000 0.000 0.000
Mg10 0.000 0.713 0.713
Mg11 0.000 0.287 0.287
Ag1 0.500 0.634 0.153
Ag2 0.500 0.366 0.847
Ag3 0.500 0.153 0.634
Ag4 0.500 0.847 0.366
Ag5 0.500 0.788 0.938
Ag6 0.500 0.212 0.062
Ag7 0.500 0.938 0.788
Ag8 0.500 0.062 0.212
Ag9 0.500 0.500 0.500
Pd1 0.500 0.551 0.750
Pd2 0.500 0.449 0.250
Pd3 0.500 0.750 0.551
Pd4 0.500 0.250 0.449



Values of D(E_F), in order: 1.4208 0.5140 0.6051 0.7491 0.3401 0.5675 0.7140 0.3058, all in states/eV/atom.